Sc3Cr5 PBE relaxed; energy of formation from the pure elements = 0.32 eV per atom; magnetic moment = 1.04 μB per atom; calculated volume = 16.4 Å³ per atom; VASP energy = -8.0676 eV/atom
1.0
3.2530 -4.5502 0.0000
3.2530 4.5502 0.0000
0.0000 0.0000 4.4450
Cr Sc
5 3
direct
0.2253 0.2253 0.5000
0.0000 0.5000 0.0000
0.7747 0.7747 0.5000
0.5000 0.0000 0.0000
0.0000 0.0000 0.0000
0.7503 0.2497 0.5000
0.5000 0.5000 0.0000
0.2497 0.7503 0.5000

***

Y2FeTc PBE relaxed; energy of formation from the pure elements = 0.00 eV per atom; magnetic moment = 0.00 μB per atom; calculated volume = 22.2 Å³ per atom; VASP energy = -7.9398 eV/atom
1.0
-1.5260 -3.6099 0.2409
3.5235 -1.6327 -2.1452
4.1501 -1.5285 3.3853
Tc Y Fe
1 2 1
direct
0.5000 0.5737 0.7280
0.0000 0.9779 0.9194
0.5000 0.2693 0.3363
0.0000 0.6790 0.5163

***

Sm2CuTe4 PBE relaxed; E above lowest polymorph = 0 meV per atom; formation energy (no corrections) = -7.2 eV per formula unit; magnetic moment = 0.00 μB per atom; calculated volume = 29.1 Å³ per atom; VASP energy = -4.7634 eV/atom
1.0
-2.9408 1.6174 7.5864
-4.5781 -4.3910 -0.8385
4.6262 -5.3816 2.9406
Te Sm Cu
8 4 2
direct
0.0865 0.4858 0.3818
0.2519 0.2529 0.9203
0.7519 0.7471 0.0797
0.5865 0.5142 0.6182
0.9113 0.9836 0.6191
0.4113 0.0164 0.3809
0.7505 0.2460 0.0665
0.2505 0.7540 0.9335
0.9452 0.5005 0.7676
0.4452 0.4995 0.2324
0.0581 0.0047 0.2415
0.5581 0.9953 0.7585
0.2946 0.3099 0.5884
0.7946 0.6901 0.4116

***

AlTlCo2 PBE relaxed; E above lowest polymorph = 175 meV per atom; energy of formation from the pure elements = 0.25 eV per atom; magnetic moment = 0.38 μB per atom; calculated volume = 15.3 Å³ per atom; VASP energy = -4.8284 eV/atom
1.0
-1.5269 3.0092 2.5855
-3.6402 2.0348 0.8248
-1.9711 -2.9722 4.0105
Tl Co Al
1 2 1
direct
0.2500 0.2500 0.2500
0.0094 0.0094 0.9386
0.4906 0.4906 0.5614
0.7500 0.7500 0.7500

***

K2CaZn PBE relaxed; energy of formation from the pure elements = 0.11 eV per atom; magnetic moment = 0.00 μB per atom; calculated volume = 49.6 Å³ per atom; VASP energy = -1.2538 eV/atom
1.0
5.7292 0.0184 0.0144
4.2704 3.8194 0.0144
2.6188 1.0051 9.0989
Zn Ca K
1 1 2
direct
0.4750 0.4750 0.3753
0.1896 0.1896 0.3749
0.0008 0.0008 0.0605
0.8346 0.8346 0.6893

***

MgTc2Ni PBE relaxed; energy of formation from the pure elements = 0.18 eV per atom; magnetic moment = 0.00 μB per atom; calculated volume = 14.3 Å³ per atom; VASP energy = -6.8425 eV/atom
1.0
4.4597 0.0000 0.0000
0.0000 2.6449 -0.0021
0.0000 1.1828 4.8543
Ni Tc Mg
1 2 1
direct
0.5000 0.7500 0.7500
0.0000 0.5537 0.5013
0.0000 0.9463 0.9987
0.5000 0.2500 0.2500

***

Repeat the sixth record exactly.
MgTc2Ni PBE relaxed; energy of formation from the pure elements = 0.18 eV per atom; magnetic moment = 0.00 μB per atom; calculated volume = 14.3 Å³ per atom; VASP energy = -6.8425 eV/atom
1.0
4.4597 0.0000 0.0000
0.0000 2.6449 -0.0021
0.0000 1.1828 4.8543
Ni Tc Mg
1 2 1
direct
0.5000 0.7500 0.7500
0.0000 0.5537 0.5013
0.0000 0.9463 0.9987
0.5000 0.2500 0.2500

***

Look up the VASP energy of the second one. -7.9398 eV/atom